{"formula": "Na3Ac3NpO8", "functional": "PBE", "state": "relaxed", "formation_energy_uncorrected_ev_per_atom": -2.6180, "density_g_cm3": 6.73, "energy_ev_per_atom": -7.211, "space_group": "R-3m (166)", "m_tot_mub_per_atom": 0.2001, "lattice": [[7.541, 0.000, 0.000], [-3.770, 6.530, -0.023], [0.000, -4.335, 5.601]], "species": ["O", "O", "O", "Np", "O", "Na", "Ac", "Ac", "O", "O", "Na", "O", "Ac", "O", "Na"], "frac_coords": [[0.232, 0.014, 0.297], [0.782, 0.014, 0.297], [0.768, 0.986, 0.703], [0.000, 0.000, 0.500], [0.218, 0.435, 0.703], [0.500, 0.500, 0.000], [0.000, 0.500, 0.500], [0.500, 0.500, 0.500], [0.782, 0.565, 0.297], [0.260, 0.521, 0.281], [0.000, 0.000, 0.000], [0.218, 0.986, 0.703], [0.500, 0.000, 0.500], [0.740, 0.479, 0.719], [0.000, 0.500, 0.000]]}